! MgZrRe2 PBEsol optimized geometry; values from VASP
&SYSTEM
  ibrav = 0, nat = 4, ntyp = 3
/
ATOMIC_SPECIES
Re 186.21 Re.upf
Mg 24.30 Mg.upf
Zr 91.22 Zr.upf
CELL_PARAMETERS angstrom
-3.411 -0.678 -2.902
0.871 -1.241 -4.268
-0.994 -4.196 -1.386
ATOMIC_POSITIONS crystal
Re 0.750 0.750 0.750
Re 0.000 0.000 0.000
Mg 0.500 0.500 0.500
Zr 0.250 0.250 0.250
! E, eV per atom: -9.177
! Symmetry: F-43m (216)
! Size of the total moment, Bohr magnetons per cell: 0.001
! DFT formation energy, eV per atom: 0.191